No. 1
{"formula": "SrPd6Au6", "functional": "PBE-GGA", "state": "relaxed", "lattice_angstrom": [[-2.730, 4.674, 4.687], [2.730, -4.674, 4.687], [2.730, 4.674, -4.687]], "species": ["Sr", "Pd", "Pd", "Pd", "Pd", "Pd", "Pd", "Au", "Au", "Au", "Au", "Au", "Au"], "fractional_positions": [[0.000, 0.000, 0.000], [0.000, 0.000, 0.500], [0.000, 0.500, 0.000], [0.231, 0.500, 0.731], [0.500, 0.000, 0.000], [0.500, 0.500, 0.500], [0.769, 0.500, 0.269], [0.207, 0.707, 0.500], [0.342, 0.000, 0.342], [0.349, 0.349, 0.000], [0.651, 0.651, 0.000], [0.658, 0.000, 0.658], [0.793, 0.293, 0.500]], "delta_e_f_ev_per_atom": -0.24}

---

No. 2
{"formula": "Zr2HPb", "functional": "PBE-GGA", "state": "relaxed", "lattice_angstrom": [[4.038, 0.000, 0.000], [0.000, 15.048, 0.000], [0.000, 0.000, 4.695]], "species": ["Zr", "Zr", "Zr", "Zr", "Zr", "Zr", "Zr", "Zr", "H", "H", "H", "H", "Pb", "Pb", "Pb", "Pb"], "fractional_positions": [[0.000, 0.072, 0.250], [0.000, 0.257, 0.750], [0.000, 0.743, 0.250], [0.000, 0.928, 0.750], [0.500, 0.243, 0.250], [0.500, 0.428, 0.750], [0.500, 0.572, 0.250], [0.500, 0.757, 0.750], [0.000, 0.211, 0.250], [0.000, 0.789, 0.750], [0.500, 0.289, 0.750], [0.500, 0.711, 0.250], [0.000, 0.406, 0.250], [0.000, 0.594, 0.750], [0.500, 0.094, 0.750], [0.500, 0.906, 0.250]], "relative_energy_kj_per_mol_atoms": 0.0}

---

No. 3
{"formula": "Sm2FeCo", "functional": "PBE-GGA", "state": "relaxed", "lattice_angstrom": [[3.445, 0.000, 0.000], [-1.722, 2.983, 0.000], [0.000, 0.000, 27.708]], "species": ["Sm", "Sm", "Sm", "Sm", "Sm", "Sm", "Fe", "Fe", "Fe", "Co", "Co", "Co"], "fractional_positions": [[0.000, 0.000, 0.101], [0.000, 0.000, 0.899], [0.333, 0.667, 0.566], [0.333, 0.667, 0.767], [0.667, 0.333, 0.233], [0.667, 0.333, 0.434], [0.000, 0.000, 0.000], [0.333, 0.667, 0.667], [0.667, 0.333, 0.333], [0.000, 0.000, 0.500], [0.333, 0.667, 0.167], [0.667, 0.333, 0.833]], "delta_e_f_ev_per_atom": 0.69, "relative_energy_kj_per_mol_atoms": 73.6}

---

No. 4
{"formula": "ThRh2Au", "functional": "PBE-GGA", "state": "relaxed", "lattice_angstrom": [[4.353, 0.000, 0.000], [0.000, 4.353, 0.000], [0.000, 0.000, 3.932]], "species": ["Th", "Rh", "Rh", "Au"], "fractional_positions": [[0.000, 0.000, 0.000], [0.000, 0.500, 0.500], [0.500, 0.000, 0.500], [0.500, 0.500, 0.000]], "delta_e_f_ev_per_atom": -0.79}

---

No. 5
{"formula": "Zr2CrP", "functional": "PBE-GGA", "state": "relaxed", "lattice_angstrom": [[7.384, 0.000, 0.000], [0.000, 7.384, 0.000], [0.000, 0.000, 5.696]], "species": ["Zr", "Zr", "Zr", "Zr", "Zr", "Zr", "Zr", "Zr", "Cr", "Cr", "Cr", "Cr", "P", "P", "P", "P"], "fractional_positions": [[0.223, 0.250, 0.125], [0.250, 0.723, 0.375], [0.250, 0.777, 0.875], [0.277, 0.250, 0.625], [0.723, 0.750, 0.625], [0.750, 0.223, 0.875], [0.750, 0.277, 0.375], [0.777, 0.750, 0.125], [0.000, 0.000, 0.500], [0.000, 0.500, 0.750], [0.500, 0.000, 0.250], [0.500, 0.500, 0.000], [0.000, 0.000, 0.000], [0.000, 0.500, 0.250], [0.500, 0.000, 0.750], [0.500, 0.500, 0.500]], "delta_e_f_ev_per_atom": -0.04}

---

No. 6
{"formula": "GaAgBi", "functional": "PBE-GGA", "state": "relaxed", "lattice_angstrom": [[3.294, 0.000, 0.000], [0.000, 3.294, 0.000], [0.000, 0.000, 12.778]], "species": ["Ga", "Ga", "Ag", "Ag", "Bi", "Bi"], "fractional_positions": [[0.000, 0.000, 0.000], [0.500, 0.500, 0.500], [0.000, 0.000, 0.369], [0.500, 0.500, 0.869], [0.000, 0.000, 0.693], [0.500, 0.500, 0.193]], "delta_e_f_ev_per_atom": 0.11, "relative_energy_kj_per_mol_atoms": 0.0}

---

No. 7
{"formula": "AlZn2Hg", "functional": "PBE-GGA", "state": "relaxed", "lattice_angstrom": [[8.665, 0.000, 0.000], [0.000, 3.261, 0.000], [-0.862, 0.000, 5.141]], "species": ["Al", "Al", "Zn", "Zn", "Zn", "Zn", "Hg", "Hg"], "fractional_positions": [[0.000, 0.000, 0.000], [0.500, 0.500, 0.000], [0.244, 0.500, 0.217], [0.256, 0.000, 0.783], [0.744, 0.000, 0.217], [0.756, 0.500, 0.783], [0.000, 0.500, 0.500], [0.500, 0.000, 0.500]], "delta_e_f_ev_per_atom": 0.13, "relative_energy_kj_per_mol_atoms": 2.0}

---

No. 8
{"formula": "Mg3Zn3Ir2Pd", "functional": "PBE-GGA", "state": "relaxed", "lattice_angstrom": [[7.474, 0.000, 0.000], [-3.737, 6.473, 0.000], [0.000, 0.000, 2.936]], "species": ["Mg", "Mg", "Mg", "Zn", "Zn", "Zn", "Ir", "Ir", "Pd"], "fractional_positions": [[0.000, 0.708, 0.000], [0.292, 0.292, 0.000], [0.708, 0.000, 0.000], [0.000, 0.388, 0.500], [0.388, 0.000, 0.500], [0.612, 0.612, 0.500], [0.333, 0.667, 0.000], [0.667, 0.333, 0.000], [0.000, 0.000, 0.500]], "delta_e_f_ev_per_atom": -0.30}

---

No. 9
{"formula": "DyErTmSc2", "functional": "PBE-GGA", "state": "relaxed", "lattice_angstrom": [[3.005, -8.327, 0.000], [3.005, 8.327, 0.000], [0.000, 0.000, 6.010]], "species": ["Dy", "Dy", "Er", "Er", "Tm", "Tm", "Sc", "Sc", "Sc", "Sc"], "fractional_positions": [[0.250, 0.750, 0.750], [0.750, 0.250, 0.250], [0.153, 0.847, 0.250], [0.847, 0.153, 0.750], [0.348, 0.652, 0.250], [0.652, 0.348, 0.750], [0.250, 0.250, 0.000], [0.250, 0.250, 0.500], [0.750, 0.750, 0.000], [0.750, 0.750, 0.500]], "delta_e_f_ev_per_atom": 0.35}

---

No. 10
{"formula": "Al2SbIr", "functional": "PBE-GGA", "state": "relaxed", "lattice_angstrom": [[3.092, 0.000, 0.000], [0.000, 3.839, 0.000], [0.000, 0.000, 6.343]], "species": ["Al", "Al", "Sb", "Ir"], "fractional_positions": [[0.000, 0.000, 0.000], [0.500, 0.500, 0.278], [0.500, 0.500, 0.751], [0.000, 0.000, 0.381]]}

---

No. 11
{"formula": "Ba2AlNi", "functional": "PBE-GGA", "state": "relaxed", "lattice_angstrom": [[5.215, 0.000, 0.000], [0.000, 4.323, 0.000], [-2.603, 0.000, 5.913]], "species": ["Ba", "Ba", "Al", "Ni"], "fractional_positions": [[0.000, 0.000, 0.000], [0.291, 0.500, 0.583], [0.604, 0.500, 0.209], [0.696, 0.000, 0.389]], "delta_e_f_ev_per_atom": -0.06}

---

No. 12
{"formula": "Be2AsOsN", "functional": "PBE-GGA", "state": "relaxed", "lattice_angstrom": [[3.529, 0.000, 0.000], [0.000, 3.529, 0.000], [0.000, 0.000, 4.479]], "species": ["Be", "Be", "As", "Os", "N"], "fractional_positions": [[0.000, 0.500, 0.000], [0.500, 0.000, 0.000], [0.000, 0.000, 0.500], [0.500, 0.500, 0.500], [0.500, 0.500, 0.000]], "relative_energy_kj_per_mol_atoms": 0.0}

---

For each record above, in turn, the calculated total DFT energy (no corrections) values are -4.27 -6.34 -5.56 -7.14 -8.07 -3.15 -1.52 -3.80 -4.91 -5.24 -3.41 -6.08 eV/atom.
For each record above, in turn, the calculated DOS at the Fermi energy values are 7.84 2.67 4.29 4.08 3.58 1.25 1.99 4.90 7.72 1.45 4.04 1.28 states/eV/f.u..